Record 1
Material: PrDy5Zn6
Method: DFT, GGA-PBE
State: optimized geometry

Cell lengths 5.065, 15.238, 7.202 Å; angles 90.00, 90.00, 90.00 degrees
Space group Cmmm (No. 65)
Inequivalent atoms, fractional coordinates:
1 Pr 0.000 0.000 0.000 x2
2 Dy 0.000 0.000 0.500 x2
3 Dy 0.000 0.332 0.000 x4
4 Dy 0.000 0.335 0.500 x4
5 Zn 0.000 0.171 0.257 x8
6 Zn 0.000 0.500 0.258 x4

The value obtained for the calculated density is 8.0 g cm⁻³. The formation enthalpy at 0 K comes out at -329 meV/atom.

Record 2
Material: PrDy4Zn4
Method: DFT, GGA-PBE
State: optimized geometry

Cell lengths 9.499, 9.499, 5.139 Å; angles 90.00, 90.00, 90.00 degrees
Space group I4/m (No. 87)
Inequivalent atoms, fractional coordinates:
1 Pr 0.000 0.000 0.000 x2
2 Dy 0.106 0.349 0.000 x8
3 Zn 0.080 0.184 0.500 x8

The value obtained for the calculated density is 7.5 g cm⁻³. The formation enthalpy at 0 K comes out at -136 meV/atom.

Record 3
Material: PrDy4Zn5
Method: DFT, GGA-PBE
State: optimized geometry

Cell lengths 3.591, 3.591, 18.025 Å; angles 90.00, 90.00, 90.00 degrees
Space group P4/mmm (No. 123)
Inequivalent atoms, fractional coordinates:
1 Pr 0.000 0.000 0.000 x1
2 Dy 0.000 0.000 0.206 x2
3 Dy 0.000 0.000 0.402 x2
4 Zn 0.500 0.500 0.111 x2
5 Zn 0.500 0.500 0.303 x2
6 Zn 0.500 0.500 0.500 x1

The value obtained for the calculated density is 8.0 g cm⁻³. The formation enthalpy at 0 K comes out at -329 meV/atom.